Record 1
Crystalline BaFePO2 at its relaxed geometry. Source: Alexandria via LeMat-Bulk, functional PBE with a Hubbard U.

Properties
As for the space group: No. 123. Its distance to the lowest polymorph of the same formula is 1222 meV per atom. The density of states at the Fermi level comes out at 3.69 states/eV/f.u.

Lattice parameters (Å, degrees): 4.4131 4.4131 6.6173 90.00 90.00 90.00
Positions (direct):
Ba (0.0000, 0.0000, 0.0000)
Fe (0.5000, 0.5000, 0.5000)
P (0.0000, 0.0000, 0.5000)
O (0.0000, 0.5000, 0.0000)
O (0.5000, 0.0000, 0.0000)



Record 2
Crystalline BaFeP2O at its relaxed geometry. Source: Alexandria via LeMat-Bulk, functional PBE with a Hubbard U.

Properties
As for the space group: No. 123. Its distance to the lowest polymorph of the same formula is 0 meV per atom. The density of states at the Fermi level comes out at 3.45 states/eV/f.u.

Lattice parameters (Å, degrees): 5.0020 5.0020 4.0290 90.00 90.00 90.00
Positions (direct):
Ba (0.0000, 0.0000, 0.0000)
Fe (0.5000, 0.5000, 0.5000)
P (0.0000, 0.5000, 0.5000)
P (0.5000, 0.0000, 0.5000)
O (0.5000, 0.5000, 0.0000)



Record 3
Crystalline BaFeP2O8 at its relaxed geometry. Source: Alexandria via LeMat-Bulk, functional PBE with a Hubbard U.

Properties
The calculated total energy comes out at -6.8807 eV per atom. As for the space group: No. 147. The density of states at the Fermi level comes out at 2.56 states/eV/f.u.

Lattice parameters (Å, degrees): 4.8589 4.8589 7.7668 90.00 90.00 120.00
Positions (direct):
Ba (0.0000, 0.0000, 0.0000)
Fe (0.0000, 0.0000, 0.5000)
P (0.3333, 0.6667, 0.7085)
P (0.6667, 0.3333, 0.2915)
O (0.0577, 0.3384, 0.6480)
O (0.2807, 0.9423, 0.6480)
O (0.3333, 0.6667, 0.9062)
O (0.3384, 0.2807, 0.3520)
O (0.6616, 0.7193, 0.6480)
O (0.6667, 0.3333, 0.0938)
O (0.7193, 0.0577, 0.3520)
O (0.9423, 0.6616, 0.3520)



Record 4
Crystalline BaFeP2O at its relaxed geometry. Source: Alexandria via LeMat-Bulk, functional PBE with a Hubbard U.

Properties
As for the space group: No. 123. Its distance to the lowest polymorph of the same formula is 1323 meV per atom. The density of states at the Fermi level comes out at 2.77 states/eV/f.u.

Lattice parameters (Å, degrees): 5.8811 5.8811 4.3782 90.00 90.00 90.00
Positions (direct):
Ba (0.0000, 0.0000, 0.0000)
Fe (0.5000, 0.5000, 0.5000)
P (0.0000, 0.5000, 0.0000)
P (0.5000, 0.0000, 0.0000)
O (0.0000, 0.0000, 0.5000)



Record 5
Crystalline BaFePO2 at its relaxed geometry. Source: Alexandria via LeMat-Bulk, functional PBE with a Hubbard U.

Properties
As for the space group: No. 123. Its distance to the lowest polymorph of the same formula is 0 meV per atom. The density of states at the Fermi level comes out at 2.57 states/eV/f.u.

Lattice parameters (Å, degrees): 4.2489 4.2489 4.6102 90.00 90.00 90.00
Positions (direct):
Ba (0.0000, 0.0000, 0.0000)
Fe (0.5000, 0.5000, 0.5000)
P (0.5000, 0.5000, 0.0000)
O (0.0000, 0.5000, 0.5000)
O (0.5000, 0.0000, 0.5000)



Record 6
Crystalline BaPaFe2O8 at its relaxed geometry. Source: Alexandria via LeMat-Bulk, functional PBE with a Hubbard U.

Properties
The calculated total energy comes out at -7.0876 eV per atom. As for the space group: No. 119. The density of states at the Fermi level comes out at 7.78 states/eV/f.u.

Lattice parameters (Å, degrees): 6.2268 6.2268 6.2268 106.79 106.79 114.99
Positions (direct):
Ba (0.0000, 0.0000, 0.0000)
Pa (0.7500, 0.2500, 0.5000)
Fe (0.2500, 0.7500, 0.5000)
Fe (0.5000, 0.5000, 0.0000)
O (0.0642, 0.4023, 0.3381)
O (0.0642, 0.7261, 0.6619)
O (0.1259, 0.3358, 0.7901)
O (0.2739, 0.9358, 0.3381)
O (0.5457, 0.3358, 0.2099)
O (0.5977, 0.9358, 0.6619)
O (0.6642, 0.4543, 0.7901)
O (0.6642, 0.8741, 0.2099)



Record 7
Crystalline Ba4Pa3FeO12 at its relaxed geometry. Source: Alexandria via LeMat-Bulk, functional PBE with a Hubbard U.

Properties
The calculated total energy comes out at -8.0562 eV per atom. As for the space group: No. 229. The density of states at the Fermi level comes out at 15.70 states/eV/f.u.

Lattice parameters (Å, degrees): 7.6390 7.6390 7.6390 109.47 109.47 109.47
Positions (direct):
Ba (0.0000, 0.0000, 0.5000)
Ba (0.0000, 0.5000, 0.0000)
Ba (0.5000, 0.0000, 0.0000)
Ba (0.5000, 0.5000, 0.5000)
Pa (0.0000, 0.5000, 0.5000)
Pa (0.5000, 0.0000, 0.5000)
Pa (0.5000, 0.5000, 0.0000)
Fe (0.0000, 0.0000, 0.0000)
O (0.0000, 0.2549, 0.2549)
O (0.0000, 0.7451, 0.7451)
O (0.2500, 0.5000, 0.7500)
O (0.2500, 0.7500, 0.5000)
O (0.2549, 0.0000, 0.2549)
O (0.2549, 0.2549, 0.0000)
O (0.5000, 0.2500, 0.7500)
O (0.5000, 0.7500, 0.2500)
O (0.7451, 0.0000, 0.7451)
O (0.7451, 0.7451, 0.0000)
O (0.7500, 0.2500, 0.5000)
O (0.7500, 0.5000, 0.2500)



Record 8
Crystalline Ba4FePb3O12 at its relaxed geometry. Source: Alexandria via LeMat-Bulk, functional PBE with a Hubbard U.

Properties
The calculated total energy comes out at -5.8783 eV per atom. As for the space group: No. 229. The density of states at the Fermi level comes out at 13.53 states/eV/f.u.

Lattice parameters (Å, degrees): 7.4193 7.4193 7.4193 109.47 109.47 109.47
Positions (direct):
Ba (0.0000, 0.0000, 0.5000)
Ba (0.0000, 0.5000, 0.0000)
Ba (0.5000, 0.0000, 0.0000)
Ba (0.5000, 0.5000, 0.5000)
Fe (0.0000, 0.0000, 0.0000)
Pb (0.0000, 0.5000, 0.5000)
Pb (0.5000, 0.0000, 0.5000)
Pb (0.5000, 0.5000, 0.0000)
O (0.0000, 0.2400, 0.2400)
O (0.0000, 0.7600, 0.7600)
O (0.2400, 0.0000, 0.2400)
O (0.2400, 0.2400, 0.0000)
O (0.2500, 0.5000, 0.7500)
O (0.2500, 0.7500, 0.5000)
O (0.5000, 0.2500, 0.7500)
O (0.5000, 0.7500, 0.2500)
O (0.7500, 0.2500, 0.5000)
O (0.7500, 0.5000, 0.2500)
O (0.7600, 0.0000, 0.7600)
O (0.7600, 0.7600, 0.0000)



Record 9
Crystalline Ba2Fe2PbO6 at its relaxed geometry. Source: Alexandria via LeMat-Bulk, functional PBE with a Hubbard U.

Properties
The calculated total energy comes out at -6.0923 eV per atom. As for the space group: No. 166. The density of states at the Fermi level comes out at 1.53 states/eV/f.u.

Lattice parameters (Å, degrees): 6.8806 6.8806 6.8806 53.55 53.55 53.55
Positions (direct):
Ba (0.2113, 0.2113, 0.2113)
Ba (0.7887, 0.7887, 0.7887)
Fe (0.4278, 0.4278, 0.4278)
Fe (0.5722, 0.5722, 0.5722)
Pb (0.0000, 0.0000, 0.0000)
O (0.2329, 0.7494, 0.7494)
O (0.2506, 0.2506, 0.7671)
O (0.2506, 0.7671, 0.2506)
O (0.7494, 0.2329, 0.7494)
O (0.7494, 0.7494, 0.2329)
O (0.7671, 0.2506, 0.2506)



Record 10
Crystalline Ba2FePbO6 at its relaxed geometry. Source: Alexandria via LeMat-Bulk, functional PBE with a Hubbard U.

Properties
The calculated total energy comes out at -6.0147 eV per atom. As for the space group: No. 123. The density of states at the Fermi level comes out at 3.26 states/eV/f.u.

Lattice parameters (Å, degrees): 4.2199 4.2199 8.3037 90.00 90.00 90.00
Positions (direct):
Ba (0.0000, 0.0000, 0.2325)
Ba (0.0000, 0.0000, 0.7675)
Fe (0.5000, 0.5000, 0.0000)
Pb (0.5000, 0.5000, 0.5000)
O (0.0000, 0.5000, 0.0000)
O (0.0000, 0.5000, 0.5000)
O (0.5000, 0.0000, 0.0000)
O (0.5000, 0.0000, 0.5000)
O (0.5000, 0.5000, 0.2307)
O (0.5000, 0.5000, 0.7693)



Record 11
Crystalline BaFePb2O4 at its relaxed geometry. Source: Alexandria via LeMat-Bulk, functional PBE with a Hubbard U.

Properties
The calculated total energy comes out at -5.7573 eV per atom. As for the space group: No. 63.

Lattice parameters (Å, degrees): 6.4434 6.4434 12.8123 90.00 90.00 147.25
Positions (direct):
Ba (0.1016, 0.8984, 0.7500)
Ba (0.8984, 0.1016, 0.2500)
Fe (0.1664, 0.8336, 0.2500)
Fe (0.8336, 0.1664, 0.7500)
Pb (0.3672, 0.6328, 0.5361)
Pb (0.3672, 0.6328, 0.9639)
Pb (0.6328, 0.3672, 0.0361)
Pb (0.6328, 0.3672, 0.4639)
O (0.0000, 0.0000, 0.0000)
O (0.0000, 0.0000, 0.5000)
O (0.2842, 0.7158, 0.1335)
O (0.2842, 0.7158, 0.3665)
O (0.4105, 0.5895, 0.7500)
O (0.5895, 0.4105, 0.2500)
O (0.7158, 0.2842, 0.6335)
O (0.7158, 0.2842, 0.8665)



Record 12
Crystalline BaFe2PdO at its relaxed geometry. Source: Alexandria via LeMat-Bulk, functional PBE with a Hubbard U.

Properties
The calculated total energy comes out at -3.5286 eV per atom. As for the space group: No. 123. The density of states at the Fermi level comes out at 2.18 states/eV/f.u.

Lattice parameters (Å, degrees): 6.3385 6.3385 4.4469 90.00 90.00 90.00
Positions (direct):
Ba (0.0000, 0.0000, 0.0000)
Fe (0.0000, 0.5000, 0.0000)
Fe (0.5000, 0.0000, 0.0000)
Pd (0.5000, 0.5000, 0.5000)
O (0.0000, 0.0000, 0.5000)



Record 13
Crystalline Ba2FePdO4 at its relaxed geometry. Source: Alexandria via LeMat-Bulk, functional PBE with a Hubbard U.

Properties
The calculated total energy comes out at -5.9475 eV per atom. As for the space group: No. 82.

Lattice parameters (Å, degrees): 5.6470 5.6470 5.6470 111.27 111.27 105.94
Positions (direct):
Ba (0.0000, 0.0000, 0.0000)
Ba (0.7500, 0.2500, 0.5000)
Fe (0.2500, 0.7500, 0.5000)
Pd (0.5000, 0.5000, 0.0000)
O (0.2694, 0.7247, 0.1589)
O (0.2753, 0.4342, 0.5447)
O (0.5658, 0.1105, 0.8411)
O (0.8895, 0.7306, 0.4553)



Record 14
Crystalline Ba3Fe2PdO9 at its relaxed geometry. Source: Alexandria via LeMat-Bulk, functional PBE with a Hubbard U.

Properties
The calculated total energy comes out at -6.1226 eV per atom. As for the space group: No. 164. The density of states at the Fermi level comes out at 12.65 states/eV/f.u.

Lattice parameters (Å, degrees): 5.7456 5.7456 7.0658 90.00 90.00 120.00
Positions (direct):
Ba (0.0000, 0.0000, 0.0000)
Ba (0.3333, 0.6667, 0.6651)
Ba (0.6667, 0.3333, 0.3349)
Fe (0.3333, 0.6667, 0.1587)
Fe (0.6667, 0.3333, 0.8413)
Pd (0.0000, 0.0000, 0.5000)
O (0.0000, 0.5000, 0.0000)
O (0.1672, 0.3343, 0.3320)
O (0.1672, 0.8328, 0.3320)
O (0.3343, 0.1672, 0.6680)
O (0.5000, 0.0000, 0.0000)
O (0.5000, 0.5000, 0.0000)
O (0.6657, 0.8328, 0.3320)
O (0.8328, 0.1672, 0.6680)
O (0.8328, 0.6657, 0.6680)



Record 15
Crystalline Ba2PmFe2O6 at its relaxed geometry. Source: Alexandria via LeMat-Bulk, functional PBE with a Hubbard U.

Properties
The calculated total energy comes out at -6.7664 eV per atom. As for the space group: No. 166.

Lattice parameters (Å, degrees): 6.9507 6.9507 6.9507 52.99 52.99 52.99
Positions (direct):
Ba (0.2084, 0.2084, 0.2084)
Ba (0.7916, 0.7916, 0.7916)
Pm (0.0000, 0.0000, 0.0000)
Fe (0.4283, 0.4283, 0.4283)
Fe (0.5717, 0.5717, 0.5717)
O (0.2343, 0.7503, 0.7503)
O (0.2497, 0.2497, 0.7657)
O (0.2497, 0.7657, 0.2497)
O (0.7503, 0.2343, 0.7503)
O (0.7503, 0.7503, 0.2343)
O (0.7657, 0.2497, 0.2497)



Record 16
Crystalline BaPm4Fe3O12 at its relaxed geometry. Source: Alexandria via LeMat-Bulk, functional PBE with a Hubbard U.

Properties
The calculated total energy comes out at -7.1803 eV per atom. As for the space group: No. 204. The density of states at the Fermi level comes out at 6.03 states/eV/f.u.

Lattice parameters (Å, degrees): 7.2633 7.2633 7.2633 109.47 109.47 109.47
Positions (direct):
Ba (0.0000, 0.0000, 0.0000)
Pm (0.0000, 0.0000, 0.5000)
Pm (0.0000, 0.5000, 0.0000)
Pm (0.5000, 0.0000, 0.0000)
Pm (0.5000, 0.5000, 0.5000)
Fe (0.0000, 0.5000, 0.5000)
Fe (0.5000, 0.0000, 0.5000)
Fe (0.5000, 0.5000, 0.0000)
O (0.1512, 0.4823, 0.3311)
O (0.1512, 0.8201, 0.6689)
O (0.1799, 0.3311, 0.8488)
O (0.3311, 0.1512, 0.4823)
O (0.3311, 0.8488, 0.1799)
O (0.4823, 0.3311, 0.1512)
O (0.5177, 0.6689, 0.8488)
O (0.6689, 0.1512, 0.8201)
O (0.6689, 0.8488, 0.5177)
O (0.8201, 0.6689, 0.1512)
O (0.8488, 0.1799, 0.3311)
O (0.8488, 0.5177, 0.6689)



Record 17
Crystalline Ba2PmFeO6 at its relaxed geometry. Source: Alexandria via LeMat-Bulk, functional PBE with a Hubbard U.

Properties
The calculated total energy comes out at -6.6685 eV per atom. As for the space group: No. 225. The density of states at the Fermi level comes out at 4.07 states/eV/f.u.

Lattice parameters (Å, degrees): 5.9584 5.9584 5.9584 60.00 60.00 60.00
Positions (direct):
Ba (0.2500, 0.2500, 0.2500)
Ba (0.7500, 0.7500, 0.7500)
Pm (0.0000, 0.0000, 0.0000)
Fe (0.5000, 0.5000, 0.5000)
O (0.2718, 0.2718, 0.7282)
O (0.2718, 0.7282, 0.2718)
O (0.2718, 0.7282, 0.7282)
O (0.7282, 0.2718, 0.2718)
O (0.7282, 0.2718, 0.7282)
O (0.7282, 0.7282, 0.2718)



Record 18
Crystalline BaPmFe2O5 at its relaxed geometry. Source: Alexandria via LeMat-Bulk, functional PBE with a Hubbard U.

Properties
The calculated total energy comes out at -7.0165 eV per atom. As for the space group: No. 123. The density of states at the Fermi level comes out at 0.16 states/eV/f.u.

Lattice parameters (Å, degrees): 4.0136 4.0136 7.6936 90.00 90.00 90.00
Positions (direct):
Ba (0.0000, 0.0000, 0.0000)
Pm (0.0000, 0.0000, 0.5000)
Fe (0.5000, 0.5000, 0.2635)
Fe (0.5000, 0.5000, 0.7365)
O (0.0000, 0.5000, 0.3076)
O (0.0000, 0.5000, 0.6924)
O (0.5000, 0.0000, 0.3076)
O (0.5000, 0.0000, 0.6924)
O (0.5000, 0.5000, 0.0000)



Record 19
Crystalline Ba2PrFe2O6 at its relaxed geometry. Source: Alexandria via LeMat-Bulk, functional PBE with a Hubbard U.

Properties
The calculated total energy comes out at -6.7410 eV per atom. As for the space group: No. 166. The density of states at the Fermi level comes out at 0.00 states/eV/f.u.

Lattice parameters (Å, degrees): 7.0427 7.0427 7.0427 52.44 52.44 52.44
Positions (direct):
Ba (0.2064, 0.2064, 0.2064)
Ba (0.7936, 0.7936, 0.7936)
Pr (0.0000, 0.0000, 0.0000)
Fe (0.4294, 0.4294, 0.4294)
Fe (0.5706, 0.5706, 0.5706)
O (0.2340, 0.7485, 0.7485)
O (0.2515, 0.2515, 0.7660)
O (0.2515, 0.7660, 0.2515)
O (0.7485, 0.2340, 0.7485)
O (0.7485, 0.7485, 0.2340)
O (0.7660, 0.2515, 0.2515)



Record 20
Crystalline BaPrFe2O5 at its relaxed geometry. Source: Alexandria via LeMat-Bulk, functional PBE with a Hubbard U.

Properties
The calculated total energy comes out at -6.9984 eV per atom. As for the space group: No. 123. The density of states at the Fermi level comes out at 0.19 states/eV/f.u.

Lattice parameters (Å, degrees): 4.0332 4.0332 7.7501 90.00 90.00 90.00
Positions (direct):
Ba (0.0000, 0.0000, 0.0000)
Pr (0.0000, 0.0000, 0.5000)
Fe (0.5000, 0.5000, 0.2605)
Fe (0.5000, 0.5000, 0.7395)
O (0.0000, 0.5000, 0.3035)
O (0.0000, 0.5000, 0.6965)
O (0.5000, 0.0000, 0.3035)
O (0.5000, 0.0000, 0.6965)
O (0.5000, 0.5000, 0.0000)



Record 21
Crystalline Ba3Fe2PtO9 at its relaxed geometry. Source: Alexandria via LeMat-Bulk, functional PBE with a Hubbard U.

Properties
The calculated total energy comes out at -6.2473 eV per atom. As for the space group: No. 164. The density of states at the Fermi level comes out at 10.17 states/eV/f.u.

Lattice parameters (Å, degrees): 5.7607 5.7607 7.0894 90.00 90.00 120.00
Positions (direct):
Ba (0.0000, 0.0000, 0.0000)
Ba (0.3333, 0.6667, 0.6691)
Ba (0.6667, 0.3333, 0.3309)
Fe (0.3333, 0.6667, 0.1535)
Fe (0.6667, 0.3333, 0.8465)
Pt (0.0000, 0.0000, 0.5000)
O (0.0000, 0.5000, 0.0000)
O (0.1648, 0.3296, 0.3362)
O (0.1648, 0.8352, 0.3362)
O (0.3296, 0.1648, 0.6638)
O (0.5000, 0.0000, 0.0000)
O (0.5000, 0.5000, 0.0000)
O (0.6704, 0.8352, 0.3362)
O (0.8352, 0.1648, 0.6638)
O (0.8352, 0.6704, 0.6638)



no.,M_tot (μB per formula unit)
1,5.257
2,2.225
3,2.001
4,1.796
5,3.511
6,6.972
7,4.870
8,5.208
9,8.267
10,4.095
11,3.997
12,7.790
13,4.000
14,10.675
15,9.000
16,10.007
17,3.097
18,9.001
19,9.000
20,9.001
21,11.325